1.
# AgPd2Pt

Crystalline AgPd2Pt at its relaxed geometry (PBE, Alexandria).

abc: 2.8117 2.8117 18.6622
angles: 90.00 90.00 120.00
Sites, in units of the cell vectors:
Ag 0.3333 0.6667 0.2500
Ag 0.6667 0.3333 0.7500
Pd 0.3333 0.6667 0.6232
Pd 0.3333 0.6667 0.8768
Pd 0.6667 0.3333 0.1232
Pd 0.6667 0.3333 0.3768
Pt 0.0000 0.0000 0.0000
Pt 0.0000 0.0000 0.5000

Summary:
ΔE to the lowest computed polymorph = 3.27 kJ per mole of atoms
symmetry = P6_3/mmc
ΔH_f (0 K) = -1 kJ/mol of atoms
D(E_F) = 13.98 states/eV per cell


2.
# LiMgV

Crystalline LiMgV at its relaxed geometry (PBE, Alexandria).

abc: 4.8735 4.8735 2.5449
angles: 90.00 90.00 120.00
Sites, in units of the cell vectors:
Li 0.0000 0.0000 0.0000
Mg 0.3333 0.6667 0.5000
V 0.6667 0.3333 0.5000

Summary:
ΔE to the lowest computed polymorph = 35.67 kJ per mole of atoms
symmetry = P-6m2
ΔH_f (0 K) = 57 kJ/mol of atoms
D(E_F) = 3.86 states/eV per cell


3.
# Y3S3N

Crystalline Y3S3N at its relaxed geometry (PBE, Alexandria).

abc: 11.9769 3.8308 12.9931
angles: 90.00 90.00 90.00
Sites, in units of the cell vectors:
Y 0.0489 0.2500 0.1407
Y 0.0635 0.2500 0.6328
Y 0.2104 0.2500 0.8584
Y 0.2896 0.7500 0.3584
Y 0.4365 0.7500 0.1328
Y 0.4511 0.7500 0.6407
Y 0.5489 0.2500 0.3593
Y 0.5635 0.2500 0.8672
Y 0.7104 0.2500 0.6416
Y 0.7896 0.7500 0.1416
Y 0.9365 0.7500 0.3672
Y 0.9511 0.7500 0.8593
S 0.0952 0.2500 0.4038
S 0.1333 0.7500 0.9900
S 0.2236 0.7500 0.6921
S 0.2764 0.2500 0.1921
S 0.3667 0.2500 0.4900
S 0.4048 0.7500 0.9038
S 0.5952 0.2500 0.0962
S 0.6333 0.7500 0.5100
S 0.7236 0.7500 0.8079
S 0.7764 0.2500 0.3079
S 0.8667 0.2500 0.0100
S 0.9048 0.7500 0.5962
N 0.0323 0.2500 0.7985
N 0.4677 0.7500 0.2985
N 0.5323 0.2500 0.7015
N 0.9677 0.7500 0.2015

Summary:
symmetry = Pnma
ΔE_f (raw) = -13.86 eV/f.u.


4.
# Cu2Pd2Pb

Crystalline Cu2Pd2Pb at its relaxed geometry (PBE, Alexandria).

abc: 7.1147 7.1147 3.2374
angles: 90.00 90.00 90.00
Sites, in units of the cell vectors:
Cu 0.1259 0.3741 0.0000
Cu 0.3741 0.8741 0.0000
Cu 0.6259 0.1259 0.0000
Cu 0.8741 0.6259 0.0000
Pd 0.1651 0.6651 0.5000
Pd 0.3349 0.1651 0.5000
Pd 0.6651 0.8349 0.5000
Pd 0.8349 0.3349 0.5000
Pb 0.0000 0.0000 0.0000
Pb 0.5000 0.5000 0.0000

Summary:
ΔE to the lowest computed polymorph = 0.00 kJ per mole of atoms
symmetry = P4/mbm
ΔH_f (0 K) = -3 kJ/mol of atoms
D(E_F) = 2.16 states/eV per cell


5.
# CrNi2Os

Crystalline CrNi2Os at its relaxed geometry (PBE, Alexandria).

abc: 2.5593 2.5593 7.3885
angles: 90.00 90.00 90.00
Sites, in units of the cell vectors:
Cr 0.0000 0.0000 0.0000
Ni 0.5000 0.5000 0.2425
Ni 0.5000 0.5000 0.7575
Os 0.0000 0.0000 0.5000

Summary:
ΔE to the lowest computed polymorph = 15.77 kJ per mole of atoms
symmetry = P4/mmm
ΔH_f (0 K) = 18 kJ/mol of atoms
D(E_F) = 5.26 states/eV per cell


6.
# RbCu4As3

Crystalline RbCu4As3 at its relaxed geometry (PBE, Alexandria).

abc: 4.3241 4.3241 7.9226
angles: 90.00 90.00 90.00
Sites, in units of the cell vectors:
Rb 0.0000 0.0000 0.0000
Cu 0.0000 0.5000 0.3316
Cu 0.0000 0.5000 0.6684
Cu 0.5000 0.0000 0.3316
Cu 0.5000 0.0000 0.6684
As 0.0000 0.0000 0.5000
As 0.5000 0.5000 0.1749
As 0.5000 0.5000 0.8251

Summary:
symmetry = P4/mmm
ΔH_f (0 K) = -5 kJ/mol of atoms
D(E_F) = 4.29 states/eV per cell